w.
## RbFePt3 (PBE)

Data for crystalline RbFePt3 at its relaxed geometry.

The structure in extended XYZ format:
```
5
Lattice="-2.9598 -3.8992 -1.2351 3.4013 -1.4996 -3.4165 2.2718 -2.8350 3.5060" Properties=species:S:1:pos:R:3 pbc="T T T"
Rb 0.0000 0.0000 0.0000
Pt 1.7006 -0.7498 -1.7082
Pt 1.1359 -1.4175 1.7530
Pt -1.4799 -1.9496 -0.6175
Fe 1.3566 -4.1169 -0.5728
```

Summary:
- space group = Pm-3m (221)

x.
## RbFePt3 (PBE)

Data for crystalline RbFePt3 at its relaxed geometry.

The structure in extended XYZ format:
```
5
Lattice="4.7958 0.0000 0.0000 0.0000 4.7958 0.0000 0.0000 0.0000 4.7958" Properties=species:S:1:pos:R:3 pbc="T T T"
Rb 2.3979 2.3979 2.3979
Pt 0.0000 2.3979 0.0000
Pt 0.0000 0.0000 2.3979
Pt 2.3979 0.0000 0.0000
Fe 0.0000 0.0000 0.0000
```

Summary:
- space group = Pm-3m (221)

It is w that is the least stable of them.